# 1
Material: Ti2Mn2Ag
Method: DFT, GGA-PBE
State: relaxed

**Final energy**: -7.325 eV per atom
**DOS at the Fermi energy**: 5.06 states/eV/f.u.
**Energy of formation**: 0.072 eV/atom
**Calculated density**: 7.1 g cm⁻³
**Energy above the most stable polymorph in this dataset**: 0.0000 eV per atom
**Space-group type**: P4/mbm (127)

abc: 6.990 6.990 2.990
angles: 90.00 90.00 90.00
Positions (direct):
Ti: 0.193 0.307 0.000
Ti: 0.307 0.807 0.000
Ti: 0.693 0.193 0.000
Ti: 0.807 0.693 0.000
Mn: 0.104 0.604 0.500
Mn: 0.396 0.104 0.500
Mn: 0.604 0.896 0.500
Mn: 0.896 0.396 0.500
Ag: 0.000 0.000 0.500
Ag: 0.500 0.500 0.500

---

# 2
Material: Tb2PbBr
Method: DFT, GGA-PBE
State: relaxed

**Final energy**: -4.112 eV per atom
**Raw formation energy**: -0.45 eV/atom
**DOS at the Fermi energy**: 2.04 states/eV/f.u.
**Calculated density**: 8.3 g cm⁻³
**Space-group type**: R-3m (166)

abc: 11.109 11.109 11.109
angles: 18.52 18.52 18.52
Positions (direct):
Tb: 0.095 0.095 0.095
Tb: 0.905 0.905 0.905
Pb: 0.000 0.000 0.000
Br: 0.500 0.500 0.500

---

# 3
Material: MgSbBr2
Method: DFT, GGA-PBE
State: relaxed

**Final energy**: -2.459 eV per atom
**Raw formation energy**: -0.19 eV/atom
**DOS at the Fermi energy**: 1.51 states/eV/f.u.
**Calculated density**: 4.4 g cm⁻³
**Energy above the most stable polymorph in this dataset**: 0.5695 eV per atom
**Space-group type**: I-4m2 (119)

abc: 7.263 7.263 7.263
angles: 146.66 146.66 47.86
Positions (direct):
Mg: 0.000 0.000 0.000
Sb: 0.250 0.750 0.500
Br: 0.500 0.500 0.000
Br: 0.750 0.250 0.500

---

# 4
Material: CsK2HfPt
Method: DFT, GGA-PBE
State: relaxed

**Final energy**: -2.040 eV per atom
**DOS at the Fermi energy**: 5.01 states/eV/f.u.
**Energy of formation**: 1.769 eV/atom
**Calculated density**: 4.7 g cm⁻³
**Space-group type**: P4/mmm (123)

abc: 6.084 6.084 5.636
angles: 90.00 90.00 90.00
Positions (direct):
Cs: 0.000 0.000 0.000
K: 0.000 0.500 0.000
K: 0.500 0.000 0.000
Hf: 0.000 0.000 0.500
Pt: 0.500 0.500 0.500

---

# 5
Material: CeZrBi2
Method: DFT, GGA-PBE
State: relaxed

**Final energy**: -5.912 eV per atom
**DOS at the Fermi energy**: 7.62 states/eV/f.u.
**Energy of formation**: -0.351 eV/atom
**Calculated density**: 8.9 g cm⁻³
**Energy above the most stable polymorph in this dataset**: 0.0935 eV per atom
**Space-group type**: Cmcm (63)

abc: 10.572 10.572 5.823
angles: 90.00 90.00 158.08
Positions (direct):
Ce: 0.051 0.949 0.750
Ce: 0.949 0.051 0.250
Zr: 0.190 0.810 0.250
Zr: 0.810 0.190 0.750
Bi: 0.202 0.798 0.750
Bi: 0.422 0.578 0.750
Bi: 0.578 0.422 0.250
Bi: 0.798 0.202 0.250

---

# 6
Material: Pm5AlHg4
Method: DFT, GGA-PBE
State: relaxed

**Final energy**: -3.319 eV per atom
**DOS at the Fermi energy**: 11.35 states/eV/f.u.
**Energy of formation**: -0.448 eV/atom
**Calculated density**: 9.5 g cm⁻³
**Space-group type**: P4/mmm (123)

abc: 3.777 3.777 19.105
angles: 90.00 90.00 90.00
Positions (direct):
Pm: 0.000 0.000 0.000
Pm: 0.000 0.000 0.202
Pm: 0.000 0.000 0.406
Pm: 0.000 0.000 0.594
Pm: 0.000 0.000 0.798
Al: 0.500 0.500 0.500
Hg: 0.500 0.500 0.101
Hg: 0.500 0.500 0.305
Hg: 0.500 0.500 0.695
Hg: 0.500 0.500 0.899